KBa3O4 | PBE | relaxed

Computed properties:
Energy relative to the elements, uncorrected, eV per atom: -2.06
Total magnetization, μB/f.u.: 1.1
VASP energy, eV/atom: -5.396
Space-group type: Pmmm (47)

Unit cell a=3.956 b=5.541 c=7.918 alpha=90.00 beta=90.00 gamma=90.00
Positions (direct):
K (0.000, 0.000, 0.000)
Ba (0.000, 0.000, 0.500)
Ba (0.500, 0.500, 0.240)
Ba (0.500, 0.500, 0.760)
O (0.000, 0.500, 0.000)
O (0.000, 0.500, 0.500)
O (0.500, 0.000, 0.271)
O (0.500, 0.000, 0.729)